DFT (PBE) results for Hf5Ni2Os after structural relaxation.

Lattice parameters (Å, degrees): 6.499 6.499 8.336 112.94 112.94 90.00
Positions (direct):
Hf 0.525 0.677 0.701
Hf 0.677 0.177 0.701
Hf 0.323 0.823 0.299
Hf 0.475 0.323 0.299
Hf 0.975 0.475 0.299
Hf 0.000 0.000 0.000
Hf 0.025 0.525 0.701
Hf 0.177 0.025 0.701
Hf 0.823 0.975 0.299
Hf 0.500 0.500 0.000
Ni 0.371 0.871 0.000
Ni 0.129 0.371 0.000
Ni 0.871 0.629 0.000
Ni 0.629 0.129 0.000
Os 0.750 0.750 0.500
Os 0.250 0.250 0.500

Properties
Energy of formation = -0.4070 eV/atom
Spin magnetization = 0.00 μB per cell



DFT (PBE) results for Hf2NiOs after structural relaxation.

Lattice parameters (Å, degrees): 5.753 5.753 5.753 59.49 151.03 129.26
Positions (direct):
Ni 0.000 0.000 0.000
Hf 0.000 0.242 0.242
Hf 0.000 0.758 0.758
Os 0.000 0.500 0.500

Properties
Energy of formation = 0.5726 eV/atom
Spin magnetization = 0.00 μB per cell



DFT (PBE) results for Hf6Ni5Os after structural relaxation.

Lattice parameters (Å, degrees): 4.542 6.378 7.112 90.00 107.73 90.00
Positions (direct):
Hf 0.161 0.749 0.337
Hf 0.160 0.250 0.337
Hf 0.499 0.252 0.999
Hf 0.840 0.750 0.663
Hf 0.839 0.251 0.663
Hf 0.501 0.748 0.001
Ni 0.364 0.503 0.677
Ni 0.636 0.497 0.323
Ni 0.633 0.004 0.328
Ni 0.367 0.996 0.672
Ni 0.000 0.500 0.000
Os 0.000 0.000 0.000

Properties
Energy of formation = -0.4697 eV/atom
Spin magnetization = 0.00 μB per cell



DFT (PBE) results for Hf4Ni2Os after structural relaxation.

Lattice parameters (Å, degrees): 4.445 4.580 7.289 90.00 72.25 90.00
Positions (direct):
Ni 0.206 0.500 0.589
Ni 0.794 0.500 0.411
Hf 0.391 0.500 0.219
Hf 0.609 0.500 0.781
Hf 0.880 0.000 0.239
Hf 0.120 0.000 0.761
Os 0.500 0.000 0.000

Properties
Energy of formation = -0.1955 eV/atom
Spin magnetization = 0.00 μB per cell



DFT (PBE) results for Hf2NiOs after structural relaxation.

Lattice parameters (Å, degrees): 4.564 5.617 5.617 111.12 90.00 90.00
Positions (direct):
Ni 0.750 0.650 0.350
Ni 0.250 0.350 0.650
Hf 0.750 0.133 0.377
Hf 0.250 0.867 0.623
Hf 0.750 0.623 0.867
Hf 0.250 0.377 0.133
Os 0.750 0.125 0.875
Os 0.250 0.875 0.125

Properties
Energy of formation = -0.5741 eV/atom
Spin magnetization = 0.00 μB per cell



DFT (PBE) results for HfNi2Os2 after structural relaxation.

Lattice parameters (Å, degrees): 3.864 3.864 5.935 71.00 71.00 90.00
Positions (direct):
Ni 0.750 0.250 0.500
Ni 0.250 0.750 0.500
Os 0.392 0.392 0.216
Os 0.608 0.608 0.784
Hf 0.000 0.000 0.000

Properties
Energy of formation = 0.0848 eV/atom
Spin magnetization = 0.00 μB per cell



DFT (PBE) results for Hf4NiOs3 after structural relaxation.

Lattice parameters (Å, degrees): 4.572 4.572 7.293 108.27 108.27 89.99
Positions (direct):
Hf 0.876 0.876 0.752
Hf 0.624 0.624 0.248
Hf 0.124 0.124 0.248
Hf 0.376 0.376 0.752
Ni 0.500 0.000 0.000
Os 0.000 0.500 0.000
Os 0.750 0.250 0.499
Os 0.250 0.750 0.501

Properties
Energy of formation = -0.6252 eV/atom
Spin magnetization = 0.00 μB per cell



DFT (PBE) results for HfNiPOs2 after structural relaxation.

Lattice parameters (Å, degrees): 4.827 4.787 4.827 90.00 90.00 90.00
Site moments in Bohr magnetons follow the coordinates.
Positions (direct):
Ni 0.500 0.500 0.500  0.89
Os 0.500 0.000 0.000  0.87
Os 0.000 0.000 0.500  0.81
P 0.000 0.500 0.000  0.00
Hf 0.000 0.000 0.000  -0.05

Properties
Energy of formation = 2.1580 eV/atom
Spin magnetization = 2.62 μB per cell



DFT (PBE) results for HfPaNiOs after structural relaxation.

Lattice parameters (Å, degrees): 4.711 4.711 4.711 60.00 60.00 60.00
Positions (direct):
Ni 0.750 0.750 0.750
Pa 0.000 0.000 0.000
Hf 0.500 0.500 0.500
Os 0.250 0.250 0.250

Properties
Energy of formation = -0.2909 eV/atom
Spin magnetization = 0.00 μB per cell



DFT (PBE) results for HfScNiOs after structural relaxation.

Lattice parameters (Å, degrees): 4.543 4.543 4.543 60.00 60.00 60.00
Positions (direct):
Ni 0.250 0.250 0.250
Sc 0.000 0.000 0.000
Hf 0.500 0.500 0.500
Os 0.750 0.750 0.750

Properties
Energy of formation = -0.5618 eV/atom
Spin magnetization = 0.00 μB per cell



DFT (PBE) results for HfTaNiOs after structural relaxation.

Lattice parameters (Å, degrees): 4.506 4.506 4.506 60.00 60.00 60.00
Positions (direct):
Hf 0.500 0.500 0.500
Ni 0.250 0.250 0.250
Os 0.750 0.750 0.750
Ta 0.000 0.000 0.000

Properties
Energy of formation = -0.3867 eV/atom
Spin magnetization = 0.00 μB per cell



DFT (PBE) results for TbHfNiOs after structural relaxation.

Lattice parameters (Å, degrees): 4.687 4.687 4.687 60.00 60.00 60.00
Positions (direct):
Hf 0.500 0.500 0.500
Tb 0.000 0.000 0.000
Os 0.750 0.750 0.750
Ni 0.250 0.250 0.250

Properties
Energy of formation = -0.3698 eV/atom
Spin magnetization = 0.00 μB per cell